[1]
Material: Er3CoSn3
Method: DFT, PBE
State: relaxed

a b c (Å): 4.3974 5.9159 14.0772
angles (deg): 84.52 81.01 68.18
Sites, in units of the cell vectors:
Co 0.7546 0.1039 0.3869
Er 0.4816 0.6544 0.3824
Sn 0.9715 0.8171 0.2399
Sn 0.0285 0.1829 0.7601
Sn 0.1537 0.2301 0.4625
Sn 0.1310 0.8152 0.9227
Er 0.5184 0.3456 0.6176
Er 0.2598 0.2392 0.2412
Er 0.7402 0.7608 0.7588
Sn 0.8690 0.1848 0.0773
Sn 0.8463 0.7699 0.5375
Er 0.4047 0.2704 0.9202
Co 0.2454 0.8961 0.6131
Er 0.5953 0.7296 0.0798

Calculated values
- Calculated volume: 336 Å³ per cell
- Total DFT energy (no corrections): -5.2842 eV per atom

---

[2]
Material: Ca4ScSi
Method: DFT, PBE
State: relaxed

a b c (Å): 6.5270 6.5270 6.5270
angles (deg): 60.00 60.00 60.00
Last column: magnetic moment on the atom in μB.
Sites, in units of the cell vectors:
Si 0.0000 0.0000 0.0000  0.00
Sc 0.7500 0.7500 0.7500  0.52
Ca 0.8742 0.3753 0.3753  0.06
Ca 0.3753 0.3753 0.3753  0.06
Ca 0.3753 0.8742 0.3753  0.06
Ca 0.3753 0.3753 0.8742  0.06

Calculated values
- Calculated volume: 197 Å³ per cell
- Total DFT energy (no corrections): -2.7130 eV per atom
- E_form (uncorrected): 580 meV/atom

---

[3]
Material: SmScHgIr
Method: DFT, PBE
State: relaxed

a b c (Å): 4.9684 4.9684 4.9684
angles (deg): 60.00 60.00 60.00
Sites, in units of the cell vectors:
Sm 0.7500 0.7500 0.7500
Hg 0.5000 0.5000 0.5000
Ir 0.0000 0.0000 0.0000
Sc 0.2500 0.2500 0.2500

Calculated values
- Calculated volume: 87 Å³ per cell
- Total DFT energy (no corrections): -5.5904 eV per atom

---

[4]
Material: Ta3Co5
Method: DFT, PBE
State: relaxed

a b c (Å): 4.9148 6.4543 7.8165
angles (deg): 83.12 108.34 112.38
Last column: magnetic moment on the atom in μB.
Sites, in units of the cell vectors:
Co 0.0866 0.8693 0.3038  0.71
Co 0.2199 0.5000 0.4543  0.39
Co 0.9539 0.2463 0.6607  0.13
Co 0.5702 0.3181 0.8225  0.02
Ta 0.8256 0.5000 0.1507  -0.10
Co 0.7521 0.6819 0.8225  0.02
Ta 0.2394 0.9990 0.9798  -0.03
Co 0.2491 0.2890 0.2085  0.32
Ta 0.3427 0.1452 0.5398  -0.07
Co 0.7355 0.5000 0.4543  0.39
Co 0.7174 0.1307 0.3038  0.71
Ta 0.2089 0.5000 0.9171  -0.06
Ta 0.7404 0.0010 0.9798  -0.03
Co 0.4601 0.7110 0.2085  0.32
Co 0.2076 0.7537 0.6607  0.13
Ta 0.6975 0.8548 0.5398  -0.07

Calculated values
- Calculated volume: 218 Å³ per cell
- Energy relative to the lowest polymorph listed for this composition: 213.9 meV/atom
- Total DFT energy (no corrections): -8.8749 eV per atom

---

[5]
Material: Li11Cd9Au4
Method: DFT, PBE
State: relaxed

a b c (Å): 3.0326 12.4377 12.4377
angles (deg): 111.22 90.00 90.00
Sites, in units of the cell vectors:
Cd 0.5000 0.6351 0.1493
Li 0.0000 0.3668 0.6332
Au 0.5000 0.5497 0.7516
Cd 0.5000 0.1493 0.6351
Li 0.0000 0.6332 0.3668
Cd 0.5000 0.3649 0.8507
Au 0.5000 0.7516 0.5497
Li 0.0000 0.0634 0.4169
Au 0.5000 0.4503 0.2484
Cd 0.5000 0.9363 0.7838
Li 0.0000 0.9366 0.5831
Cd 0.5000 0.0637 0.2162
Li 0.0000 0.1553 0.8447
Li 0.0000 0.2968 0.2968
Li 0.0000 0.8447 0.1553
Cd 0.5000 0.5000 0.5000
Li 0.0000 0.0000 0.0000
Cd 0.5000 0.7838 0.9363
Cd 0.5000 0.8507 0.3649
Li 0.0000 0.7032 0.7032
Li 0.0000 0.5831 0.9366
Au 0.5000 0.2484 0.4503
Li 0.0000 0.4169 0.0634
Cd 0.5000 0.2162 0.0637

Calculated values
- Calculated volume: 437 Å³ per cell
- Total DFT energy (no corrections): -2.1028 eV per atom

---

[6]
Material: Ni2SbRu
Method: DFT, PBE
State: relaxed

a b c (Å): 4.6140 4.6140 4.4677
angles (deg): 77.54 77.54 38.09
Last column: magnetic moment on the atom in μB.
Sites, in units of the cell vectors:
Ru 0.7500 0.7500 0.7500  0.11
Ni 0.0008 0.0008 0.9859  0.14
Ni 0.4992 0.4992 0.5141  0.14
Sb 0.2500 0.2500 0.2500  0.00

Calculated values
- Calculated volume: 57 Å³ per cell
- Total DFT energy (no corrections): -6.0983 eV per atom
- E_form (uncorrected): 142 meV/atom

---

[7]
Material: SrMg2Ni
Method: DFT, PBE
State: relaxed

a b c (Å): 5.9324 8.0749 16.0181
angles (deg): 90.00 90.00 90.00
Sites, in units of the cell vectors:
Mg 0.5235 0.4422 0.7107
Ni 0.4761 0.7500 0.4309
Sr 0.5327 0.7500 0.8652
Ni 0.5239 0.2500 0.5691
Mg 0.7041 0.9384 0.5458
Mg 0.2041 0.4384 0.9542
Mg 0.7041 0.5616 0.5458
Mg 0.2959 0.0616 0.4542
Sr 0.4673 0.2500 0.1348
Mg 0.0235 0.5578 0.7893
Ni 0.0239 0.7500 0.9309
Ni 0.2561 0.2500 0.3110
Ni 0.9761 0.2500 0.0691
Ni 0.7439 0.7500 0.6890
Mg 0.4765 0.5578 0.2893
Mg 0.4765 0.9422 0.2893
Sr 0.2820 0.7500 0.1044
Mg 0.9765 0.0578 0.2107
Ni 0.7561 0.7500 0.1890
Mg 0.0235 0.9422 0.7893
Sr 0.9673 0.7500 0.3652
Ni 0.2439 0.2500 0.8110
Sr 0.2180 0.7500 0.6044
Sr 0.0327 0.2500 0.6348
Sr 0.7820 0.2500 0.3956
Mg 0.2041 0.0616 0.9542
Sr 0.7180 0.2500 0.8956
Mg 0.5235 0.0578 0.7107
Mg 0.7959 0.5616 0.0458
Mg 0.9765 0.4422 0.2107
Mg 0.2959 0.4384 0.4542
Mg 0.7959 0.9384 0.0458

Calculated values
- Calculated volume: 767 Å³ per cell
- Total DFT energy (no corrections): -2.7698 eV per atom

---

[8]
Material: SbTe2Au
Method: DFT, PBE
State: relaxed

a b c (Å): 4.6182 4.6155 6.5556
angles (deg): 112.93 110.62 90.01
Sites, in units of the cell vectors:
Au 0.8952 0.0779 0.7905
Te 0.6868 0.1623 0.3735
Te 0.3403 0.6977 0.6805
Sb 0.0421 0.7615 0.0841

Calculated values
- Calculated volume: 119 Å³ per cell
- Total DFT energy (no corrections): -3.3887 eV per atom
- E_form (uncorrected): 32 meV/atom

---

[9]
Material: Zn2Rh3
Method: DFT, PBE
State: relaxed

a b c (Å): 10.6837 10.6837 10.6837
angles (deg): 14.96 14.96 14.96
Last column: magnetic moment on the atom in μB.
Sites, in units of the cell vectors:
Rh 0.0000 0.0000 0.0000  0.36
Zn 0.3993 0.3993 0.3993  0.00
Zn 0.6007 0.6007 0.6007  0.00
Rh 0.2009 0.2009 0.2009  0.42
Rh 0.7991 0.7991 0.7991  0.42

Calculated values
- Calculated volume: 71 Å³ per cell
- Energy relative to the lowest polymorph listed for this composition: 81.7 meV/atom
- Total DFT energy (no corrections): -5.0971 eV per atom

---

[10]
Material: DyPu4Ge5
Method: DFT, PBE
State: relaxed

a b c (Å): 3.2483 3.2483 20.7469
angles (deg): 90.00 90.00 90.00
Last column: magnetic moment on the atom in μB.
Sites, in units of the cell vectors:
Pu 0.0000 0.0000 0.3996  5.37
Ge 0.5000 0.5000 0.9009  -0.03
Ge 0.5000 0.5000 0.5000  -0.08
Ge 0.5000 0.5000 0.0991  -0.03
Pu 0.0000 0.0000 0.8007  5.39
Ge 0.5000 0.5000 0.7003  -0.08
Ge 0.5000 0.5000 0.2997  -0.08
Pu 0.0000 0.0000 0.1993  5.39
Pu 0.0000 0.0000 0.6004  5.37
Dy 0.0000 0.0000 0.0000  -0.01

Calculated values
- Calculated volume: 219 Å³ per cell
- Total DFT energy (no corrections): -8.9826 eV per atom

---

[11]
Material: ZrTe2Pt
Method: DFT, PBE
State: relaxed

a b c (Å): 5.5652 5.5652 4.9321
angles (deg): 83.20 83.20 39.78
Sites, in units of the cell vectors:
Zr 0.5000 0.5000 0.5097
Te 0.0145 0.0145 0.0347
Pt 0.2142 0.2142 0.3028
Te 0.7713 0.7713 0.6528

Calculated values
- Calculated volume: 97 Å³ per cell
- Energy relative to the lowest polymorph listed for this composition: 214.8 meV/atom
- Total DFT energy (no corrections): -5.6657 eV per atom
- E_form (uncorrected): -448 meV/atom

---

[12]
Material: LiLaGa2
Method: DFT, PBE
State: relaxed

a b c (Å): 4.4046 4.4046 5.9227
angles (deg): 68.17 68.17 60.00
Sites, in units of the cell vectors:
Li 0.5000 0.5000 0.5000
Ga 0.7921 0.7921 0.6236
La 0.0000 0.0000 0.0000
Ga 0.2079 0.2079 0.3764

Calculated values
- Calculated volume: 90 Å³ per cell
- Total DFT energy (no corrections): -3.7138 eV per atom

---

[13]
Material: CsInP
Method: DFT, PBE
State: relaxed

a b c (Å): 8.0736 8.0736 9.3179
angles (deg): 112.83 112.83 96.00
Sites, in units of the cell vectors:
Cs 0.3696 0.3696 0.7393
In 0.1250 0.8750 0.7500
In 0.1250 0.8750 0.2500
In 0.1250 0.3750 0.2500
P 0.7917 0.7917 0.0000
P 0.0417 0.5417 0.5000
P 0.4583 0.9583 0.5000
Cs 0.6304 0.6304 0.2607
Cs 0.6196 0.1196 0.2393
P 0.2083 0.2083 0.0000
In 0.6250 0.8750 0.7500
Cs 0.8804 0.3804 0.7607

Calculated values
- Calculated volume: 492 Å³ per cell
- Energy relative to the lowest polymorph listed for this composition: 305.2 meV/atom
- Total DFT energy (no corrections): -2.9686 eV per atom

---

[14]
Material: NaFeIr
Method: DFT, PBE
State: relaxed

a b c (Å): 4.0481 4.0481 7.1454
angles (deg): 90.00 90.00 90.00
Last column: magnetic moment on the atom in μB.
Sites, in units of the cell vectors:
Na 0.5000 0.0000 0.8585  0.00
Ir 0.0000 0.5000 0.6959  0.93
Ir 0.5000 0.0000 0.3041  0.93
Fe 0.5000 0.5000 0.5000  3.07
Fe 0.0000 0.0000 0.5000  3.07
Na 0.0000 0.5000 0.1415  0.00

Calculated values
- Calculated volume: 117 Å³ per cell
- Energy relative to the lowest polymorph listed for this composition: 128.3 meV/atom
- Total DFT energy (no corrections): -5.8252 eV per atom

---

[15]
Material: LiPu2PaTe5
Method: DFT, PBE
State: relaxed

a b c (Å): 4.3630 9.5055 13.3051
angles (deg): 90.00 90.00 103.27
Last column: magnetic moment on the atom in μB.
Sites, in units of the cell vectors:
Pa 0.7964 0.5928 0.5117  0.47
Li 0.5540 0.1080 0.9555  0.00
Pu 0.8731 0.7462 0.8065  -5.44
Te 0.9494 0.8988 0.5694  -0.02
Pu 0.8937 0.7873 0.1849  5.45
Te 0.2855 0.5710 0.6718  0.00
Te 0.0506 0.1012 0.0694  -0.02
Te 0.6883 0.3766 0.8493  -0.02
Te 0.4961 0.9922 0.7743  0.00
Li 0.4460 0.8920 0.4555  0.00
Te 0.3675 0.7351 0.0006  -0.01
Te 0.6325 0.2649 0.5006  -0.01
Te 0.7145 0.4290 0.1718  0.00
Pa 0.2036 0.4072 0.0117  0.47
Pu 0.1269 0.2538 0.3065  -5.44
Pu 0.1063 0.2127 0.6849  5.45
Te 0.3117 0.6234 0.3493  -0.02
Te 0.5039 0.0078 0.2743  0.00

Calculated values
- Calculated volume: 537 Å³ per cell
- Total DFT energy (no corrections): -7.1106 eV per atom
- E_form (uncorrected): -913 meV/atom

---

[16]
Material: KUTlBr6
Method: DFT, PBE
State: relaxed

a b c (Å): 8.0728 8.0728 13.4581
angles (deg): 90.00 90.00 120.00
Last column: magnetic moment on the atom in μB.
Sites, in units of the cell vectors:
Br 0.0510 0.3844 0.6298  -0.03
Tl 0.3333 0.6667 0.2500  0.00
Br 0.0510 0.6666 0.8702  -0.03
Br 0.6156 0.6666 0.6298  -0.03
Br 0.6666 0.6156 0.1298  -0.03
Br 0.6666 0.0510 0.3702  -0.03
Br 0.3334 0.3844 0.8702  -0.03
U 0.3333 0.6667 0.7500  2.10
Tl 0.6667 0.3333 0.7500  0.00
Br 0.9490 0.6156 0.3702  -0.03
K 0.0000 0.0000 0.5000  0.00
U 0.6667 0.3333 0.2500  2.10
Br 0.3844 0.3334 0.3702  -0.03
K 0.0000 0.0000 0.0000  0.00
Br 0.9490 0.3334 0.1298  -0.03
Br 0.3334 0.9490 0.6298  -0.03
Br 0.6156 0.9490 0.8702  -0.03
Br 0.3844 0.0510 0.1298  -0.03

Calculated values
- Calculated volume: 760 Å³ per cell
- Total DFT energy (no corrections): -4.0933 eV per atom
- E_form (uncorrected): -1339 meV/atom

---

[17]
Material: Pr3Sm5Sc
Method: DFT, PBE
State: relaxed

a b c (Å): 9.6436 9.6436 9.2961
angles (deg): 75.88 75.88 51.03
Last column: magnetic moment on the atom in μB.
Sites, in units of the cell vectors:
Sm 0.6762 0.3238 0.0000  -0.01
Sc 0.8678 0.8678 0.8475  0.15
Sm 0.5010 0.5010 0.6740  0.00
Sc 0.1322 0.1322 0.1525  0.15
Pr 0.1600 0.1600 0.7192  0.01
Pr 0.3016 0.3016 0.2937  0.00
Pr 0.8400 0.8400 0.2808  0.01
Sm 0.3238 0.6762 0.0000  -0.01
Pr 0.0000 0.0000 0.5000  0.06
Pr 0.0000 0.0000 0.0000  0.12
Sm 0.6868 0.6868 0.0648  0.01
Pr 0.6984 0.6984 0.7063  0.00
Sm 0.1385 0.5536 0.5905  0.00
Sm 0.8615 0.4464 0.4095  0.00
Sm 0.4990 0.4990 0.3260  0.00
Sm 0.4464 0.8615 0.4095  0.00
Sm 0.3132 0.3132 0.9352  0.01
Sm 0.5536 0.1385 0.5905  0.00

Calculated values
- Calculated volume: 647 Å³ per cell
- Total DFT energy (no corrections): -4.5207 eV per atom

---

[18]
Material: LaMgS2Cl
Method: DFT, PBE
State: relaxed

a b c (Å): 4.9105 4.9105 4.6064
angles (deg): 90.00 90.00 90.00
Sites, in units of the cell vectors:
Cl 0.0000 0.0000 0.5000
Mg 0.0000 0.0000 0.0000
S 0.0000 0.5000 0.0000
S 0.5000 0.0000 0.0000
La 0.5000 0.5000 0.5000

Calculated values
- Calculated volume: 111 Å³ per cell
- Energy relative to the lowest polymorph listed for this composition: 0.0 meV/atom
- Total DFT energy (no corrections): -4.8929 eV per atom
- E_form (uncorrected): -1568 meV/atom

---

[19]
Material: Nd3Zn9Pt2
Method: DFT, PBE
State: relaxed

a b c (Å): 4.3315 8.3513 8.3513
angles (deg): 66.16 74.97 74.97
Sites, in units of the cell vectors:
Zn 0.6736 0.6845 0.9682
Zn 0.0000 0.5000 0.5000
Nd 0.6891 0.3109 0.3109
Pt 0.5000 0.7186 0.2814
Zn 0.1262 0.1552 0.5924
Zn 0.8738 0.8448 0.4076
Zn 0.3263 0.3155 0.0318
Pt 0.5000 0.2814 0.7186
Zn 0.8738 0.4076 0.8448
Nd 0.0000 0.0000 0.0000
Zn 0.3263 0.0318 0.3155
Zn 0.1262 0.5924 0.1552
Zn 0.6736 0.9682 0.6845
Nd 0.3109 0.6891 0.6891

Calculated values
- Calculated volume: 263 Å³ per cell
- Total DFT energy (no corrections): -3.2089 eV per atom

---

[20]
Material: CsHoHgBr6
Method: DFT, PBE
State: relaxed

a b c (Å): 7.3941 7.3939 8.0790
angles (deg): 89.99 90.00 60.00
Sites, in units of the cell vectors:
Br 0.9934 0.3834 0.2956
Br 0.6232 0.3834 0.7043
Br 0.3833 0.9935 0.7043
Hg 0.3333 0.3333 0.5000
Ho 0.6667 0.6667 0.5000
Br 0.3834 0.6232 0.2956
Cs 0.0000 0.0000 0.0000
Br 0.9934 0.6232 0.7043
Br 0.6231 0.9934 0.2956

Calculated values
- Calculated volume: 383 Å³ per cell
- Total DFT energy (no corrections): -3.1399 eV per atom
- E_form (uncorrected): -1388 meV/atom

---

[21]
Material: NbSnMo
Method: DFT, PBE
State: relaxed

a b c (Å): 3.4410 3.4410 5.2495
angles (deg): 109.13 109.13 90.00
Sites, in units of the cell vectors:
Sn 0.6144 0.6144 0.2288
Nb 0.2959 0.2959 0.5917
Mo 0.9397 0.9397 0.8795

Calculated values
- Calculated volume: 55 Å³ per cell
- Energy relative to the lowest polymorph listed for this composition: 0.0 meV/atom
- Total DFT energy (no corrections): -8.3195 eV per atom

---

[22]
Material: RbTlIO2
Method: DFT, PBE
State: relaxed

a b c (Å): 5.2332 5.2332 7.5577
angles (deg): 90.00 90.00 90.00
Last column: magnetic moment on the atom in μB.
Sites, in units of the cell vectors:
I 0.0000 0.0000 0.5000  0.02
O 0.5000 0.0000 0.0000  1.12
Tl 0.5000 0.5000 0.5000  0.00
O 0.0000 0.5000 0.0000  1.12
Rb 0.0000 0.0000 0.0000  0.06

Calculated values
- Calculated volume: 207 Å³ per cell
- Energy relative to the lowest polymorph listed for this composition: 486.5 meV/atom
- Total DFT energy (no corrections): -2.8212 eV per atom
- E_form (uncorrected): 139 meV/atom